1.
{
  "formula": "Tl12In3Se5",
  "functional": "PBE",
  "state": "optimized geometry",
  "raw_formation_energy_ev_per_atom": -0.091,
  "dft_energy_ev_per_atom": -2.793,
  "dos_ef_per_ev_atom": 0.451,
  "space_group": "Ia-3d",
  "magnetic_moment_mub_per_fu": 0.00,
  "cell": [[-14.279, -5.270, -3.437], [9.620, -12.090, 2.183], [-0.615, 8.575, 13.022]],
  "species": ["In", "In", "In", "In", "In", "In", "In", "In", "In", "In", "In", "In", "Se", "Se", "Se", "Se", "Se", "Se", "Se", "Se", "Se", "Se", "Se", "Se", "Se", "Se", "Se", "Se", "Se", "Se", "Se", "Se", "Tl", "Tl", "Tl", "Tl", "Tl", "Tl", "Tl", "Tl", "Tl", "Tl", "Tl", "Tl", "Tl", "Tl", "Tl", "Tl", "Tl", "Tl", "Tl", "Tl", "Tl", "Tl", "Tl", "Tl", "Tl", "Tl", "Tl", "Tl", "Tl", "Tl", "Tl", "Tl", "Tl", "Tl", "Tl", "Tl", "Tl", "Tl", "Tl", "Tl", "Tl", "Tl", "Tl", "Tl", "Tl", "Tl", "Tl", "Tl"],
  "frac_coords": [[0.750, 0.375, 0.125], [0.875, 0.750, 0.125], [0.375, 0.750, 0.625], [0.250, 0.125, 0.375], [0.875, 0.125, 0.250], [0.375, 0.625, 0.250], [0.625, 0.375, 0.750], [0.125, 0.875, 0.750], [0.750, 0.875, 0.625], [0.625, 0.250, 0.375], [0.125, 0.250, 0.875], [0.250, 0.625, 0.875], [0.125, 0.375, 0.250], [0.000, 0.500, 0.000], [0.000, 0.000, 0.000], [0.375, 0.250, 0.125], [0.500, 0.000, 0.500], [0.500, 0.500, 0.000], [0.125, 0.750, 0.375], [0.750, 0.125, 0.875], [0.750, 0.625, 0.375], [0.375, 0.125, 0.750], [0.625, 0.875, 0.250], [0.500, 0.500, 0.500], [0.500, 0.000, 0.000], [0.000, 0.000, 0.500], [0.250, 0.375, 0.625], [0.250, 0.875, 0.125], [0.000, 0.500, 0.500], [0.875, 0.250, 0.625], [0.625, 0.750, 0.875], [0.875, 0.625, 0.750], [0.725, 0.137, 0.053], [0.328, 0.553, 0.417], [0.947, 0.363, 0.275], [0.553, 0.225, 0.137], [0.589, 0.725, 0.672], [0.947, 0.583, 0.172], [0.328, 0.775, 0.411], [0.083, 0.911, 0.137], [0.583, 0.947, 0.672], [0.725, 0.589, 0.172], [0.775, 0.447, 0.363], [0.828, 0.917, 0.053], [0.137, 0.725, 0.553], [0.363, 0.417, 0.089], [0.089, 0.917, 0.363], [0.411, 0.137, 0.583], [0.089, 0.172, 0.225], [0.447, 0.672, 0.083], [0.828, 0.911, 0.275], [0.137, 0.411, 0.083], [0.363, 0.947, 0.775], [0.583, 0.637, 0.411], [0.917, 0.828, 0.553], [0.775, 0.328, 0.911], [0.417, 0.363, 0.589], [0.083, 0.172, 0.447], [0.225, 0.672, 0.089], [0.172, 0.089, 0.725], [0.637, 0.053, 0.225], [0.863, 0.589, 0.917], [0.553, 0.328, 0.917], [0.589, 0.863, 0.417], [0.911, 0.828, 0.775], [0.911, 0.083, 0.637], [0.863, 0.275, 0.447], [0.172, 0.083, 0.947], [0.637, 0.583, 0.911], [0.417, 0.053, 0.328], [0.275, 0.411, 0.828], [0.225, 0.553, 0.637], [0.917, 0.089, 0.863], [0.672, 0.225, 0.589], [0.447, 0.775, 0.863], [0.053, 0.417, 0.828], [0.411, 0.275, 0.328], [0.053, 0.637, 0.725], [0.672, 0.447, 0.583], [0.275, 0.863, 0.947]]
}

=====

2.
{
  "formula": "Pm2MgSb3Rh4",
  "functional": "PBE",
  "state": "optimized geometry",
  "raw_formation_energy_ev_per_atom": -0.801,
  "dft_energy_ev_per_atom": -6.088,
  "dos_ef_per_ev_atom": 0.538,
  "space_group": "P-4m2",
  "magnetic_moment_mub_per_fu": 0.00,
  "cell": [[4.366, 0.000, 0.000], [0.000, 4.366, 0.000], [0.000, 0.000, 10.995]],
  "species": ["Pm", "Pm", "Mg", "Sb", "Sb", "Sb", "Rh", "Rh", "Rh", "Rh"],
  "frac_coords": [[0.500, 0.000, 0.249], [0.000, 0.500, 0.751], [0.500, 0.500, 0.500], [0.000, 0.000, 0.500], [0.500, 0.000, 0.866], [0.000, 0.500, 0.134], [0.500, 0.500, 0.000], [0.000, 0.000, 0.000], [0.500, 0.000, 0.635], [0.000, 0.500, 0.365]]
}